Compound: BaCaYVO6
Source: the Alexandria database
Functional: GGA+U
Structure: optimized geometry

Geometry as extended XYZ:
```
10
Lattice="0.000 4.126 4.126 4.126 0.000 4.126 4.126 4.126 0.000" Properties=species:S:1:pos:R:3 pbc="T T T"
Ba 2.063 2.063 2.063
Ca 6.188 6.188 6.188
Y 4.126 4.126 4.126
V 0.000 0.000 0.000
O 4.126 1.904 4.126
O 4.126 6.347 4.126
O 6.347 4.126 4.126
O 1.904 4.126 4.126
O 4.126 4.126 1.904
O 4.126 4.126 6.347
```

## Properties
The calculation puts the density of states at the Fermi level at 0.00 states/eV/cell. As for the spin magnetization: 0.00 μB per cell. For the total energy, the calculation gives -7.430 eV/atom.